Ac7Tb2Ho2 | PBE-GGA | relaxed

The structure in POSCAR format:
```
Ac7Tb2Ho2
1.0
6.626 -5.282 0.000
6.626 5.282 0.000
-0.955 0.000 6.631
Ac Tb Ho
7 2 2
Direct
0.000 0.000 0.000
0.086 0.433 0.250
0.433 0.086 0.250
0.452 0.452 0.737
0.548 0.548 0.263
0.567 0.914 0.750
0.914 0.567 0.750
0.201 0.201 0.713
0.799 0.799 0.287
0.173 0.827 0.500
0.827 0.173 0.500
```

## Properties
Its energy of formation is 0.26 eV/atom. As for the spin magnetization: 0.0 μB/f.u. As for the space group: C2/m (12).

=====

Mg2TcI8 | PBE-GGA | relaxed

The structure in POSCAR format:
```
Mg2TcI8
1.0
8.055 -4.232 0.000
8.055 4.232 0.000
-0.287 0.000 7.121
Mg Tc I
2 1 8
Direct
0.157 0.157 0.432
0.843 0.843 0.568
0.000 0.000 0.000
0.151 0.151 0.824
0.170 0.706 0.761
0.294 0.830 0.239
0.318 0.318 0.374
0.682 0.682 0.626
0.706 0.170 0.761
0.830 0.294 0.239
0.849 0.849 0.176
```

## Properties
As for the spin magnetization: 3.0 μB/f.u. The calculation puts the uncorrected formation energy at -0.5188 eV/atom. As for the space group: C2/m (12).

=====

LaTbHoCd | PBE-GGA | relaxed

The structure in POSCAR format:
```
LaTbHoCd
1.0
0.000 3.923 3.923
3.923 0.000 3.923
3.923 3.923 0.000
La Tb Ho Cd
1 1 1 1
Direct
0.000 0.000 0.000
0.500 0.500 0.500
0.250 0.250 0.250
0.750 0.750 0.750
```

## Properties
Its energy of formation is -0.04 eV/atom. As for the spin magnetization: 0.0 μB/f.u. As for the offset from the most stable computed form: 2.25 kcal/mol of atoms. As for the space group: F-43m (216).

=====

HfFeAu | PBE-GGA | relaxed

The structure in POSCAR format:
```
HfFeAu
1.0
-1.692 1.692 4.435
1.692 -1.692 4.435
1.692 1.692 -4.435
Hf Fe Au
1 1 1
Direct
0.000 0.000 0.000
0.652 0.652 0.000
0.320 0.320 0.000
```

## Properties
Its energy of formation is -0.23 eV/atom. As for the spin magnetization: 1.9 μB/f.u. As for the space group: I4mm (107).

=====

HgTe2P | PBE-GGA | relaxed

The structure in POSCAR format:
```
HgTe2P
1.0
1.890 -2.776 0.000
1.890 2.776 0.000
0.000 0.000 10.343
Hg Te P
1 2 1
Direct
0.000 0.000 0.000
0.500 0.500 0.307
0.500 0.500 0.693
0.000 0.000 0.500
```

## Properties
As for the spin magnetization: 0.0 μB/f.u. As for the offset from the most stable computed form: 5.23 kcal/mol of atoms. The calculation puts the uncorrected formation energy at 0.3528 eV/atom. As for the space group: Cmmm (65).